[1]
PuHgAu2 | PBE | optimized geometry

abc: 7.115 7.115 7.115
angles: 90.00 90.00 90.00
Space group Fm-3m (No. 225)
One atom of each set of equivalent atoms:
Pu 0.000 0.000 0.000 (multiplicity 4)
Hg 0.000 0.000 0.500 (multiplicity 4)
Au 0.250 0.250 0.250 (multiplicity 8)

Total magnetization: 5.78 μB per formula unit
VASP energy: -5.606 eV/atom
Offset from the most stable computed form: 0.00 kJ/mol of atoms
Crystal system: cubic

[2]
Pu2Hg2Au | PBE | optimized geometry

abc: 3.582 22.054 3.170
angles: 90.00 90.00 90.00
Space group Cmmm (No. 65)
One atom of each set of equivalent atoms:
Pu 0.000 0.092 0.000 (multiplicity 4)
Hg 0.000 0.305 0.500 (multiplicity 4)
Au 0.000 0.500 0.500 (multiplicity 2)

Total magnetization: 11.77 μB per formula unit
VASP energy: -6.717 eV/atom
Crystal system: orthorhombic

[3]
Pu4HgAu5 | PBE | optimized geometry

abc: 3.548 3.548 18.693
angles: 90.00 90.00 90.00
Space group P4/mmm (No. 123)
One atom of each set of equivalent atoms:
Pu 0.000 0.000 0.102 (multiplicity 2)
Pu 0.000 0.000 0.310 (multiplicity 2)
Hg 0.000 0.000 0.500 (multiplicity 1)
Au 0.500 0.500 0.000 (multiplicity 1)
Au 0.500 0.500 0.204 (multiplicity 2)
Au 0.500 0.500 0.407 (multiplicity 2)

Total magnetization: 0.12 μB per formula unit
VASP energy: -7.738 eV/atom
Crystal system: tetragonal

[4]
Pu2HgAu | PBE | optimized geometry

abc: 3.4346 3.4346 30.1188
angles: 90.00 90.00 120.00
Space group R-3m (No. 166, hexagonal axes)
One atom of each set of equivalent atoms:
Pu 0.0000 0.0000 0.2457 (multiplicity 6)
Hg 0.0000 0.0000 0.0000 (multiplicity 3)
Au 0.0000 0.0000 0.5000 (multiplicity 3)

Total magnetization: 12.16 μB per formula unit
VASP energy: -8.125 eV/atom
Offset from the most stable computed form: 17.15 kJ/mol of atoms
Crystal system: trigonal